Record 1
The following is a PBE calculation of Ta3TlPb5 after structural relaxation, from OQMD.

Calculated values
The total DFT energy (no corrections) comes out at -0.2182 hartree per atom. Its space-group type is No. 191.

abc: 5.734 5.734 8.887
angles: 90.00 90.00 120.00
Sites, in units of the cell vectors:
Ta 0.000 0.500 0.000
Ta 0.500 0.000 0.000
Ta 0.500 0.500 0.000
Tl 0.000 0.000 0.500
Pb 0.000 0.000 0.000
Pb 0.333 0.667 0.295
Pb 0.333 0.667 0.705
Pb 0.667 0.333 0.295
Pb 0.667 0.333 0.705


Record 2
The following is a PBE calculation of U6TaPb2 after structural relaxation, from OQMD.

Calculated values
The total DFT energy (no corrections) comes out at -0.3374 hartree per atom. Its space-group type is No. 189.

abc: 8.944 8.944 3.047
angles: 90.00 90.00 120.00
Sites, in units of the cell vectors:
U 0.000 0.286 0.000
U 0.000 0.639 0.500
U 0.286 0.000 0.000
U 0.361 0.361 0.500
U 0.639 0.000 0.500
U 0.714 0.714 0.000
Ta 0.000 0.000 0.500
Pb 0.333 0.667 0.000
Pb 0.667 0.333 0.000